Entry 1:
A relaxed structure of CsCaTeI2. Source: Alexandria, functional PBE.

```
CsCaTeI2
1.0
6.245 0.000 0.000
0.000 6.245 0.000
0.000 0.000 6.154
Cs I Ca Te
1 2 1 1
Direct
0.500 0.500 0.500
0.000 0.500 0.000
0.500 0.000 0.000
0.000 0.000 0.000
0.000 0.000 0.500
```

Values from the calculation:
Formation energy without anion corrections = -115 kJ per mole of atoms
Energy relative to the lowest polymorph listed for this composition = 0.00 kJ/mol of atoms
ρ = 3836 kg/m3

Entry 2:
A relaxed structure of CsCaTe2I. Source: Alexandria, functional PBE.

```
CsCaTe2I
1.0
6.015 0.000 0.000
0.000 6.015 0.000
0.000 0.000 6.379
Cs I Ca Te
1 1 1 2
Direct
0.500 0.500 0.500
0.000 0.000 0.500
0.000 0.000 0.000
0.000 0.500 0.000
0.500 0.000 0.000
```

Values from the calculation:
Formation energy without anion corrections = -85 kJ per mole of atoms
Energy relative to the lowest polymorph listed for this composition = 0.00 kJ/mol of atoms
ρ = 3993 kg/m3

Entry 3:
A relaxed structure of CsCaTe2I. Source: Alexandria, functional PBE.

```
CsCaTe2I
1.0
6.249 0.000 0.000
0.000 6.249 0.000
0.000 0.000 6.691
Cs I Ca Te
1 1 1 2
Direct
0.000 0.000 0.000
0.000 0.000 0.500
0.500 0.500 0.500
0.000 0.500 0.000
0.500 0.000 0.000
```

Values from the calculation:
Formation energy without anion corrections = 8 kJ per mole of atoms
Energy relative to the lowest polymorph listed for this composition = 92.93 kJ/mol of atoms
ρ = 3528 kg/m3

Entry 4:
A relaxed structure of Cs2CaTiI6. Source: Alexandria, functional PBE.

```
Cs2CaTiI6
1.0
-7.844 -3.299 -0.242
0.852 -2.617 8.056
-5.756 2.273 5.845
Cs I Ca Ti
2 6 1 1
Direct
0.750 0.250 0.500
0.250 0.750 0.500
0.241 0.241 0.517
0.759 0.759 0.483
0.241 0.241 0.000
0.759 0.759 0.000
0.759 0.241 0.000
0.241 0.759 0.000
0.500 0.500 0.000
0.000 0.000 0.000
```

Values from the calculation:
Formation energy without anion corrections = -121 kJ per mole of atoms
ρ = 4245 kg/m3

Entry 5:
A relaxed structure of Cs2CaTlI6. Source: Alexandria, functional PBE.

```
Cs2CaTlI6
1.0
8.653 0.000 -0.037
0.000 8.990 0.000
0.025 0.000 12.529
Cs Ca Tl I
4 2 2 12
Direct
0.023 0.927 0.250
0.523 0.573 0.750
0.977 0.073 0.750
0.477 0.427 0.250
0.500 0.000 0.000
0.000 0.500 0.500
0.500 0.000 0.500
0.000 0.500 0.000
0.306 0.706 0.039
0.806 0.794 0.539
0.694 0.294 0.961
0.194 0.206 0.461
0.297 0.694 0.463
0.797 0.806 0.963
0.703 0.306 0.537
0.203 0.194 0.037
0.923 0.502 0.255
0.423 0.998 0.755
0.077 0.498 0.745
0.577 0.002 0.245
```

Values from the calculation:
Formation energy without anion corrections = -115 kJ per mole of atoms
Energy relative to the lowest polymorph listed for this composition = 0.00 kJ/mol of atoms
ρ = 4333 kg/m3

Entry 6:
A relaxed structure of CsCaTlI4. Source: Alexandria, functional PBE.

```
CsCaTlI4
1.0
6.149 0.000 0.000
0.000 6.149 0.000
-3.074 -3.074 9.251
Cs Ca Tl I
1 1 1 4
Direct
0.638 0.638 0.276
0.002 0.002 0.003
0.359 0.359 0.718
0.996 0.496 0.992
0.496 0.996 0.992
0.836 0.836 0.672
0.173 0.173 0.346
```

Values from the calculation:
Formation energy without anion corrections = -123 kJ per mole of atoms
ρ = 4202 kg/m3

Entry 7:
A relaxed structure of Cs3CaTl3I8. Source: Alexandria, functional PBE.

```
Cs3CaTl3I8
1.0
10.226 0.000 0.000
-5.113 8.859 -0.033
0.000 -5.875 8.918
Cs Ca Tl I
3 1 3 8
Direct
0.000 0.000 0.000
0.000 0.500 0.000
0.500 0.500 0.000
0.000 0.000 0.500
0.500 0.000 0.500
0.500 0.500 0.500
0.000 0.500 0.500
0.258 0.516 0.275
0.742 0.484 0.725
0.783 0.567 0.298
0.217 0.433 0.702
0.784 0.015 0.299
0.216 0.985 0.701
0.231 0.015 0.299
0.769 0.985 0.701
```

Values from the calculation:
Formation energy without anion corrections = -117 kJ per mole of atoms
ρ = 4259 kg/m3

Entry 8:
A relaxed structure of Cs2CaTlI6. Source: Alexandria, functional PBE.

```
Cs2CaTlI6
1.0
-6.392 -3.256 5.271
-0.503 -7.276 -5.104
0.919 -8.068 3.647
Cs I Tl Ca
2 6 1 1
Direct
0.750 0.250 0.500
0.250 0.750 0.500
0.253 0.253 0.494
0.747 0.747 0.506
0.253 0.253 0.000
0.747 0.747 0.000
0.747 0.253 0.000
0.253 0.747 0.000
0.000 0.000 0.000
0.500 0.500 0.000
```

Values from the calculation:
Formation energy without anion corrections = -113 kJ per mole of atoms
Energy relative to the lowest polymorph listed for this composition = 2.05 kJ/mol of atoms
ρ = 4234 kg/m3